# 1
DFT (PBE-GGA) results for Pm4Ge3Pt5 after structural relaxation.

## Properties
**Energy of formation from the pure elements**: -0.6058 eV per atom
**Crystal system**: monoclinic
**DFT total energy**: -5.86 eV per atom
**Density of states at the Fermi level**: 13.91 states/eV per cell
**Magnetic moment**: 0.000 μB/atom

Unit cell a=16.5176 b=4.7079 c=10.0599 alpha=90.00 beta=113.64 gamma=90.00
Space group C2/m (No. 12)
One atom of each set of equivalent atoms:
1 Pm 0.1190 0.0000 0.0571
2 Pm 0.1636 0.0000 0.7497
3 Ge 0.0000 0.5000 0.5000
4 Ge 0.0239 0.5000 0.8087
5 Pt 0.0000 0.0000 0.5000
6 Pt 0.0200 0.0000 0.2350
7 Pt 0.1907 0.5000 0.9448

***

# 2
DFT (PBE-GGA) results for Hf2Zr5Sc after structural relaxation.

## Properties
**Energy of formation from the pure elements**: 0.0481 eV per atom
**Crystal system**: tetragonal
**E above lowest polymorph**: 0.000 eV/atom
**DFT total energy**: -8.57 eV per atom
**Density of states at the Fermi level**: 23.45 states/eV per cell
**Magnetic moment**: 0.000 μB/atom

Unit cell a=6.3926 b=6.3926 c=9.0127 alpha=90.00 beta=90.00 gamma=90.00
Space group I4/mmm (No. 139)
One atom of each set of equivalent atoms:
1 Hf 0.0000 0.5000 0.0000
2 Zr 0.0000 0.0000 0.0000
3 Zr 0.2500 0.2500 0.2500
4 Sc 0.0000 0.0000 0.5000

***

# 3
DFT (PBE-GGA) results for AcHgRh after structural relaxation.

## Properties
**Energy of formation from the pure elements**: -0.5951 eV per atom
**Crystal system**: orthorhombic
**E above lowest polymorph**: 0.000 eV/atom
**DFT total energy**: -4.52 eV per atom
**Density of states at the Fermi level**: 7.48 states/eV per cell
**Magnetic moment**: 0.000 μB/atom

Unit cell a=4.1187 b=17.9116 c=4.2268 alpha=90.00 beta=90.00 gamma=90.00
Space group Cmcm (No. 63)
One atom of each set of equivalent atoms:
1 Ac 0.0000 0.0971 0.2500
2 Hg 0.0000 0.2920 0.2500
3 Rh 0.0000 0.4507 0.2500

***

# 4
DFT (PBE-GGA) results for Cu8PdAu2 after structural relaxation.

## Properties
**Energy of formation from the pure elements**: 0.0375 eV per atom
**Crystal system**: orthorhombic
**DFT total energy**: -4.01 eV per atom
**Density of states at the Fermi level**: 8.31 states/eV per cell
**Magnetic moment**: 0.000 μB/atom

Unit cell a=4.3179 b=6.8120 c=10.4820 alpha=90.00 beta=90.00 gamma=90.00
Space group Immm (No. 71)
One atom of each set of equivalent atoms:
1 Cu 0.0000 0.0000 0.1427
2 Cu 0.0000 0.1836 0.3685
3 Cu 0.0000 0.2963 0.0000
4 Pd 0.0000 0.5000 0.5000
5 Au 0.0000 0.5000 0.2170

***

# 5
DFT (PBE-GGA) results for HfTi3Bi after structural relaxation.

## Properties
**Energy of formation from the pure elements**: 1.1514 eV per atom
**Crystal system**: cubic
**E above lowest polymorph**: 1.257 eV/atom
**DFT total energy**: -6.35 eV per atom
**Density of states at the Fermi level**: 9.70 states/eV per cell
**Magnetic moment**: 0.000 μB/atom

Unit cell a=5.0506 b=5.0506 c=5.0506 alpha=90.00 beta=90.00 gamma=90.00
Space group Pm-3m (No. 221)
One atom of each set of equivalent atoms:
1 Hf 0.0000 0.0000 0.0000
2 Ti 0.0000 0.5000 0.5000
3 Bi 0.5000 0.5000 0.5000

***

# 6
DFT (PBE-GGA) results for SrCeCu2S4 after structural relaxation.

## Properties
**Formation energy without anion corrections**: -1.167 eV/atom
**Crystal system**: orthorhombic
**DFT total energy**: -5.21 eV per atom
**Density of states at the Fermi level**: 7.23 states/eV per cell
**Magnetic moment**: 0.032 μB/atom

Unit cell a=6.5532 b=6.9142 c=7.6969 alpha=90.00 beta=90.00 gamma=90.00
Space group I222 (No. 23)
One atom of each set of equivalent atoms:
1 Sr 0.0000 0.0000 0.0000
2 Ce 0.0000 0.0000 0.5000
3 Cu 0.0000 0.5000 0.1768
4 S 0.2484 0.2115 0.2926

***

# 7
DFT (PBE-GGA) results for FeTcAu2 after structural relaxation.

## Properties
**Energy of formation from the pure elements**: 0.3104 eV per atom
**Crystal system**: orthorhombic
**E above lowest polymorph**: 0.135 eV/atom
**DFT total energy**: -6.04 eV per atom
**Density of states at the Fermi level**: 4.17 states/eV per cell
**Magnetic moment**: 0.750 μB/atom

Unit cell a=2.7254 b=4.5884 c=5.0341 alpha=90.00 beta=90.00 gamma=90.00
Space group Pmm2 (No. 25)
One atom of each set of equivalent atoms:
1 Fe 0.0000 0.0000 0.0000
2 Tc 0.0000 0.5000 0.7134
3 Au 0.5000 0.0000 0.5226
4 Au 0.5000 0.5000 0.1988

***

# 8
DFT (PBE-GGA) results for CaTmTcO6 after structural relaxation.

## Properties
**Formation energy without anion corrections**: -2.293 eV/atom
**Crystal system**: tetragonal
**DFT total energy**: -7.47 eV per atom
**Magnetic moment**: 0.000 μB/atom

Unit cell a=4.9992 b=4.9992 c=9.8352 alpha=90.00 beta=90.00 gamma=90.00
Space group P4_2nm (No. 102)
One atom of each set of equivalent atoms:
1 Ca 0.0000 0.0000 0.0000
2 Tm 0.0000 0.0000 0.3378
3 Tc 0.0000 0.0000 0.6695
4 O 0.1786 0.1786 0.5240
5 O 0.1911 0.1911 0.8059
6 O 0.2314 0.2314 0.1785

***

# 9
DFT (PBE-GGA) results for Na6CdSb2 after structural relaxation.

## Properties
**Formation energy without anion corrections**: -0.307 eV/atom
**Crystal system**: orthorhombic
**DFT total energy**: -2.20 eV per atom
**Density of states at the Fermi level**: 0.42 states/eV per cell
**Magnetic moment**: 0.000 μB/atom

Unit cell a=9.4154 b=9.9268 c=5.4233 alpha=90.00 beta=90.00 gamma=90.00
Space group Pnnm (No. 58)
One atom of each set of equivalent atoms:
1 Na 0.0006 0.1966 0.0000
2 Na 0.1567 0.4124 0.5000
3 Na 0.1769 0.0847 0.5000
4 Cd 0.0000 0.5000 0.0000
5 Sb 0.1661 0.7560 0.5000

***

# 10
DFT (PBE-GGA) results for NdDy8Tl6 after structural relaxation.

## Properties
**Energy of formation from the pure elements**: -0.1337 eV per atom
**Crystal system**: trigonal
**DFT total energy**: -3.85 eV per atom
**Density of states at the Fermi level**: 60.65 states/eV per cell
**Magnetic moment**: 0.000 μB/atom

Unit cell a=9.1475 b=9.1475 c=19.5055 alpha=90.00 beta=90.00 gamma=120.00
Space group R-3 (No. 148, hexagonal axes)
One atom of each set of equivalent atoms:
1 Nd 0.0000 0.0000 0.0000
2 Dy 0.0000 0.0000 0.3325
3 Dy 0.0011 0.3319 0.1096
4 Tl 0.0000 0.3392 0.9360

***

# 11
DFT (PBE-GGA) results for BaP3Br after structural relaxation.

## Properties
**Formation energy without anion corrections**: 0.522 eV/atom
**Crystal system**: cubic
**E above lowest polymorph**: 0.000 eV/atom
**DFT total energy**: -3.44 eV per atom
**Density of states at the Fermi level**: 5.37 states/eV per cell
**Magnetic moment**: 0.000 μB/atom

Unit cell a=5.0584 b=5.0584 c=5.0584 alpha=90.00 beta=90.00 gamma=90.00
Space group Pm-3m (No. 221)
One atom of each set of equivalent atoms:
1 Ba 0.0000 0.0000 0.0000
2 P 0.0000 0.5000 0.5000
3 Br 0.5000 0.5000 0.5000

***

# 12
DFT (PBE-GGA) results for CaMoN3 after structural relaxation.

## Properties
**Formation energy without anion corrections**: 2.396 eV/atom
**Crystal system**: cubic
**DFT total energy**: -5.17 eV per atom
**Density of states at the Fermi level**: 6.50 states/eV per cell
**Magnetic moment**: 0.000 μB/atom

Unit cell a=4.0054 b=4.0054 c=4.0054 alpha=90.00 beta=90.00 gamma=90.00
Space group Pm-3m (No. 221)
One atom of each set of equivalent atoms:
1 Ca 0.0000 0.0000 0.0000
2 Mo 0.5000 0.5000 0.5000
3 N 0.0000 0.0000 0.5000